Entry 1:
## Er7Te2Au2 (GGA-PBE)

Data for a geometry-optimized Er7Te2Au2 structure.

Structure (POSCAR):
```
Er7Te2Au2
1.0
8.998 -1.993 0.000
8.998 1.993 0.000
-4.228 0.000 16.528
Er Te Au
14 4 4
Direct
0.000 0.000 0.000 Er
0.002 0.002 0.334 Er
0.175 0.175 0.532 Er
0.191 0.191 0.319 Er
0.219 0.219 0.806 Er
0.338 0.338 0.020 Er
0.425 0.425 0.829 Er
0.500 0.500 0.500 Er
0.575 0.575 0.171 Er
0.662 0.662 0.980 Er
0.781 0.781 0.194 Er
0.809 0.809 0.681 Er
0.825 0.825 0.468 Er
0.998 0.998 0.666 Er
0.065 0.065 0.850 Te
0.367 0.367 0.338 Te
0.633 0.633 0.662 Te
0.935 0.935 0.150 Te
0.172 0.172 0.111 Au
0.381 0.381 0.601 Au
0.619 0.619 0.399 Au
0.828 0.828 0.889 Au
```

Properties
* magnetization: 0.4 μB per cell
* space group: No. 12
* offset from the most stable computed form: 0.000 eV/atom

Entry 2:
## Er2Te3Au (GGA-PBE)

Data for a geometry-optimized Er2Te3Au structure.

Structure (POSCAR):
```
Er2Te3Au
1.0
8.115 0.000 0.000
0.000 4.160 0.000
0.000 0.000 19.805
Er Te Au
8 12 4
Direct
0.060 0.250 0.198 Er
0.207 0.750 0.505 Er
0.293 0.250 0.005 Er
0.440 0.750 0.698 Er
0.560 0.250 0.302 Er
0.707 0.750 0.995 Er
0.793 0.250 0.495 Er
0.940 0.750 0.802 Er
0.049 0.750 0.081 Te
0.169 0.250 0.734 Te
0.176 0.250 0.392 Te
0.324 0.750 0.892 Te
0.331 0.750 0.234 Te
0.451 0.250 0.581 Te
0.549 0.750 0.419 Te
0.669 0.250 0.766 Te
0.676 0.250 0.108 Te
0.824 0.750 0.608 Te
0.831 0.750 0.266 Te
0.951 0.250 0.919 Te
0.068 0.250 0.594 Au
0.432 0.750 0.094 Au
0.568 0.250 0.906 Au
0.932 0.750 0.406 Au
```

Properties
* magnetization: 0.0 μB per cell
* space group: No. 62
* offset from the most stable computed form: 0.000 eV/atom

Entry 3:
## Er2Te3Au (GGA-PBE)

Data for a geometry-optimized Er2Te3Au structure.

Structure (POSCAR):
```
Er2Te3Au
1.0
10.745 0.000 0.000
0.000 4.073 0.000
0.000 0.000 14.769
Er Te Au
8 12 4
Direct
0.013 0.250 0.248 Er
0.236 0.750 0.532 Er
0.264 0.250 0.032 Er
0.487 0.750 0.748 Er
0.513 0.250 0.252 Er
0.736 0.750 0.968 Er
0.764 0.250 0.468 Er
0.987 0.750 0.752 Er
0.037 0.250 0.598 Te
0.063 0.750 0.095 Te
0.238 0.750 0.866 Te
0.262 0.250 0.366 Te
0.437 0.250 0.595 Te
0.463 0.750 0.098 Te
0.537 0.250 0.902 Te
0.563 0.750 0.405 Te
0.738 0.750 0.634 Te
0.762 0.250 0.134 Te
0.937 0.250 0.905 Te
0.963 0.750 0.402 Te
0.242 0.250 0.723 Au
0.258 0.750 0.223 Au
0.742 0.250 0.777 Au
0.758 0.750 0.277 Au
```

Properties
* magnetization: 0.0 μB per cell
* space group: No. 62
* offset from the most stable computed form: 0.043 eV/atom

Entry 4:
## ErTlTe3Au (GGA-PBE)

Data for a geometry-optimized ErTlTe3Au structure.

Structure (POSCAR):
```
ErTlTe3Au
1.0
2.082 -7.875 0.000
2.082 7.875 0.000
0.000 0.000 11.161
Er Tl Te Au
2 2 6 2
Direct
0.000 0.000 0.000 Er
0.000 0.000 0.500 Er
0.237 0.763 0.750 Tl
0.763 0.237 0.250 Tl
0.084 0.916 0.250 Te
0.361 0.639 0.049 Te
0.361 0.639 0.451 Te
0.639 0.361 0.549 Te
0.639 0.361 0.951 Te
0.916 0.084 0.750 Te
0.466 0.534 0.250 Au
0.534 0.466 0.750 Au
```

Properties
* magnetization: 0.0 μB per cell
* space group: No. 63
* offset from the most stable computed form: 0.000 eV/atom

Entry 5:
## ErTlTe3Au (GGA-PBE)

Data for a geometry-optimized ErTlTe3Au structure.

Structure (POSCAR):
```
ErTlTe3Au
1.0
8.820 0.000 0.000
0.000 4.187 0.000
-3.828 0.000 10.236
Er Tl Te Au
2 2 6 2
Direct
0.197 0.250 0.159 Er
0.803 0.750 0.841 Er
0.236 0.750 0.709 Tl
0.764 0.250 0.291 Tl
0.063 0.250 0.861 Te
0.242 0.250 0.451 Te
0.442 0.750 0.147 Te
0.558 0.250 0.853 Te
0.758 0.750 0.549 Te
0.937 0.750 0.139 Te
0.413 0.750 0.389 Au
0.587 0.250 0.611 Au
```

Properties
* magnetization: 0.0 μB per cell
* space group: No. 11
* offset from the most stable computed form: 0.014 eV/atom

Entry 6:
## ErTmAu2 (GGA-PBE)

Data for a geometry-optimized ErTmAu2 structure.

Structure (POSCAR):
```
ErTmAu2
1.0
4.616 0.000 0.000
0.000 3.683 0.000
0.000 0.000 10.849
Er Tm Au
2 2 4
Direct
0.000 0.000 0.000 Er
0.000 0.500 0.500 Er
0.500 0.000 0.279 Tm
0.500 0.500 0.779 Tm
0.000 0.000 0.729 Au
0.000 0.500 0.229 Au
0.500 0.000 0.551 Au
0.500 0.500 0.051 Au
```

Properties
* magnetization: 0.0 μB per cell
* space group: No. 38
* ΔH_f (0 K): -0.902 eV per atom

Entry 7:
## ErTmAu (GGA-PBE)

Data for a geometry-optimized ErTmAu structure.

Structure (POSCAR):
```
ErTmAu
1.0
6.905 0.000 0.000
0.000 6.905 0.000
0.000 0.000 6.905
Er Tm Au
4 4 4
Direct
0.000 0.000 0.000 Er
0.000 0.500 0.500 Er
0.500 0.000 0.500 Er
0.500 0.500 0.000 Er
0.000 0.000 0.500 Tm
0.000 0.500 0.000 Tm
0.500 0.000 0.000 Tm
0.500 0.500 0.500 Tm
0.250 0.250 0.250 Au
0.250 0.750 0.750 Au
0.750 0.250 0.750 Au
0.750 0.750 0.250 Au
```

Properties
* magnetization: 0.3 μB per cell
* space group: No. 216
* ΔH_f (0 K): -0.477 eV per atom
* offset from the most stable computed form: 0.000 eV/atom

Entry 8:
## ErTmAu6 (GGA-PBE)

Data for a geometry-optimized ErTmAu6 structure.

Structure (POSCAR):
```
ErTmAu6
1.0
5.007 0.000 0.000
0.000 6.117 0.000
0.000 0.000 5.124
Er Tm Au
1 1 6
Direct
0.000 0.000 0.000 Er
0.500 0.500 0.314 Tm
0.000 0.255 0.495 Au
0.000 0.500 0.994 Au
0.000 0.745 0.495 Au
0.500 0.000 0.322 Au
0.500 0.247 0.820 Au
0.500 0.753 0.820 Au
```

Properties
* magnetization: 0.0 μB per cell
* space group: No. 25
* ΔH_f (0 K): -0.731 eV per atom